(1)
Computed, not measured: a relaxed MgPt2RhPb crystal at the PBE-GGA level of DFT.

Results
Energy relative to the elements, eV/atom: 0.441
E_tot, eV per atom: -4.51
Volume, Å³ per cell: 114.9

Cell: 4.959 4.672 4.959 Å, 90.00 90.00 90.00°
Last column: magnetic moment on the atom in μB.
Sites, in units of the cell vectors:
Pb 0.500 0.500 0.500  0.00
Pt 0.000 0.000 0.500  0.41
Mg 0.000 0.500 0.000  -0.01
Rh 0.000 0.000 0.000  0.57
Pt 0.500 0.000 0.000  0.09

***

(2)
Computed, not measured: a relaxed MgPtRhPb crystal at the PBE-GGA level of DFT.

Results
Energy relative to the elements, eV/atom: -0.311
E_tot, eV per atom: -4.99
Volume, Å³ per cell: 70.5

Cell: 4.636 4.636 4.636 Å, 60.00 60.00 60.00°
Sites, in units of the cell vectors:
Rh 0.250 0.250 0.250
Pb 0.000 0.000 0.000
Mg 0.500 0.500 0.500
Pt 0.750 0.750 0.750

***

(3)
Computed, not measured: a relaxed SmMgPtPb crystal at the PBE-GGA level of DFT.

Results
Energy relative to the elements, eV/atom: -0.565
E_tot, eV per atom: -4.58
Volume, Å³ per cell: 91.9

Cell: 5.065 5.065 5.065 Å, 60.00 60.00 60.00°
Sites, in units of the cell vectors:
Pt 0.500 0.500 0.500
Sm 0.250 0.250 0.250
Mg 0.750 0.750 0.750
Pb 0.000 0.000 0.000

***

(4)
Computed, not measured: a relaxed Mg2SnPtPb crystal at the PBE-GGA level of DFT.

Results
Energy relative to the elements, eV/atom: -0.239
E_tot, eV per atom: -3.63
Volume, Å³ per cell: 132.4

Cell: 5.100 5.100 5.090 Å, 90.00 90.00 90.00°
Sites, in units of the cell vectors:
Mg 0.500 0.000 0.000
Sn 0.000 0.000 0.500
Pb 0.500 0.500 0.500
Mg 0.000 0.500 0.000
Pt 0.000 0.000 0.000

***

(5)
Computed, not measured: a relaxed Sr2MgPt4Pb3 crystal at the PBE-GGA level of DFT.

Results
Energy relative to the elements, eV/atom: -0.553
E_tot, eV per atom: -4.58
Volume, Å³ per cell: 249.9

Cell: 4.757 4.757 11.045 Å, 90.00 90.00 90.00°
Sites, in units of the cell vectors:
Pt 0.000 0.000 0.000
Mg 0.500 0.500 0.500
Sr 0.000 0.500 0.762
Pb 0.000 0.000 0.500
Pt 0.500 0.500 0.000
Pt 0.000 0.500 0.374
Sr 0.500 0.000 0.238
Pb 0.000 0.500 0.127
Pt 0.500 0.000 0.626
Pb 0.500 0.000 0.873

***

(6)
Computed, not measured: a relaxed Sr2MgPtPb crystal at the PBE-GGA level of DFT.

Results
Energy relative to the elements, eV/atom: 0.003
Polymorph energy (0 for the lowest one), meV/atom: 481
E_tot, eV per atom: -2.94
Volume, Å³ per cell: 175.7

Cell: 6.129 4.678 6.129 Å, 90.00 90.00 90.00°
Sites, in units of the cell vectors:
Sr 0.500 0.000 0.000
Mg 0.000 0.000 0.000
Sr 0.000 0.000 0.500
Pt 0.000 0.500 0.000
Pb 0.500 0.500 0.500

***

(7)
Computed, not measured: a relaxed Sr2MgPtPb crystal at the PBE-GGA level of DFT.

Results
Energy relative to the elements, eV/atom: -0.478
Polymorph energy (0 for the lowest one), meV/atom: 0
E_tot, eV per atom: -3.42
Volume, Å³ per cell: 171.1

Cell: 5.823 5.823 5.047 Å, 90.00 90.00 90.00°
Sites, in units of the cell vectors:
Sr 0.500 0.000 0.000
Mg 0.000 0.000 0.500
Pb 0.500 0.500 0.500
Pt 0.000 0.000 0.000
Sr 0.000 0.500 0.000

***

(8)
Computed, not measured: a relaxed MgTlPt2Pb crystal at the PBE-GGA level of DFT.

Results
Energy relative to the elements, eV/atom: 0.820
E_tot, eV per atom: -3.13
Volume, Å³ per cell: 145.9

Cell: 5.131 5.543 5.131 Å, 90.00 90.00 90.00°
Sites, in units of the cell vectors:
Mg 0.500 0.500 0.500
Pb 0.000 0.500 0.000
Pt 0.500 0.000 0.000
Pt 0.000 0.000 0.500
Tl 0.000 0.000 0.000

***

(9)
Computed, not measured: a relaxed Mg2TlPtPb crystal at the PBE-GGA level of DFT.

Results
Energy relative to the elements, eV/atom: -0.198
E_tot, eV per atom: -3.26
Volume, Å³ per cell: 140.0

Cell: 5.104 5.104 5.371 Å, 90.00 90.00 90.00°
Sites, in units of the cell vectors:
Mg 0.500 0.000 0.000
Pb 0.000 0.000 0.500
Mg 0.000 0.500 0.000
Tl 0.500 0.500 0.500
Pt 0.000 0.000 0.000

***

(10)
Computed, not measured: a relaxed PuMgPb3 crystal at the PBE-GGA level of DFT.

Results
Energy relative to the elements, eV/atom: 0.042
Polymorph energy (0 for the lowest one), meV/atom: 110
E_tot, eV per atom: -5.37
Volume, Å³ per cell: 288.8

Cell: 5.416 6.640 8.477 Å, 90.00 108.63 90.00°
Last column: magnetic moment on the atom in μB.
Sites, in units of the cell vectors:
Pb 0.814 0.492 0.627  0.00
Pb 0.814 0.008 0.627  0.00
Pb 0.585 0.750 0.170  0.01
Pb 0.186 0.508 0.373  0.00
Pu 0.623 0.250 0.246  5.48
Pb 0.415 0.250 0.830  0.01
Pb 0.186 0.992 0.373  0.00
Mg 0.999 0.250 0.998  0.00
Pu 0.377 0.750 0.754  5.48
Mg 0.001 0.750 0.002  0.00

***

(11)
Computed, not measured: a relaxed PuMgPb2 crystal at the PBE-GGA level of DFT.

Results
Energy relative to the elements, eV/atom: -0.166
E_tot, eV per atom: -6.00
Volume, Å³ per cell: 107.4

Cell: 4.511 4.880 4.880 Å, 90.00 90.00 90.00°
Last column: magnetic moment on the atom in μB.
Sites, in units of the cell vectors:
Pu 0.500 0.500 0.500  -5.44
Pb 0.000 0.500 0.000  0.01
Mg 0.500 0.000 0.000  -0.01
Pb 0.000 0.000 0.500  0.01

***

(12)
Computed, not measured: a relaxed Pu2MgPb crystal at the PBE-GGA level of DFT.

Results
Energy relative to the elements, eV/atom: -0.068
E_tot, eV per atom: -8.56
Volume, Å³ per cell: 102.5

Cell: 5.074 4.494 4.494 Å, 90.00 90.00 90.00°
Last column: magnetic moment on the atom in μB.
Sites, in units of the cell vectors:
Pb 0.500 0.500 0.500  -0.08
Mg 0.500 0.000 0.000  -0.01
Pu 0.000 0.000 0.500  5.64
Pu 0.000 0.500 0.000  5.64